Record 1
Density functional theory data (PBE-GGA) for crystalline Co2TeOs at its relaxed geometry.

Structure (POSCAR):
```
Co2TeOs
1.0
3.620 0.000 0.000
0.000 2.877 -0.014
0.000 2.889 5.536
Co Os Te
2 1 1
direct
0.000 0.967 0.032 Co
0.000 0.533 0.468 Co
0.500 0.250 0.250 Os
0.500 0.750 0.750 Te
```

Summary:
Space group = P2/m, No. 10
Formation energy without anion corrections = 505 meV per atom
DOS at the Fermi energy = 4.90 states/eV/cell

***

Record 2
Density functional theory data (PBE-GGA) for crystalline Th6Te3Ru2Au at its relaxed geometry.

Structure (POSCAR):
```
Th6Te3Ru2Au
1.0
7.315 0.003 0.001
-3.653 6.337 0.001
-1.220 -2.112 7.699
Th Te Au Ru
6 3 1 2
direct
0.285 0.285 0.796 Th
0.715 0.715 0.204 Th
0.931 0.578 0.794 Th
0.422 0.069 0.206 Th
0.069 0.422 0.206 Th
0.578 0.931 0.794 Th
0.838 0.162 0.500 Te
0.500 0.500 0.500 Te
0.162 0.838 0.500 Te
0.000 0.000 0.000 Au
0.333 0.667 0.000 Ru
0.667 0.333 0.000 Ru
```

Summary:
Space group = C2/m, No. 12
Formation energy without anion corrections = -885 meV per atom
DOS at the Fermi energy = 8.04 states/eV/cell

***

Record 3
Density functional theory data (PBE-GGA) for crystalline LaYMg6 at its relaxed geometry.

Structure (POSCAR):
```
LaYMg6
1.0
-3.626 5.643 -1.046
1.645 -0.163 -6.584
-3.766 -2.582 -0.877
Mg Y La
6 1 1
direct
0.125 0.375 0.500 Mg
0.369 0.119 0.000 Mg
0.881 0.119 0.000 Mg
0.625 0.875 0.500 Mg
0.369 0.631 0.000 Mg
0.881 0.631 0.000 Mg
0.125 0.875 0.500 Y
0.625 0.375 0.500 La
```

Summary:
E_form = -0.0586 eV/atom
Space group = P4/mmm, No. 123
DOS at the Fermi energy = 9.51 states/eV/cell

***

Record 4
Density functional theory data (PBE-GGA) for crystalline Ce3Ni2P4Pd2 at its relaxed geometry.

Structure (POSCAR):
```
Ce3Ni2P4Pd2
1.0
4.002 0.000 0.000
-2.001 3.466 0.000
0.000 0.000 14.390
Ni Ce P Pd
2 3 4 2
direct
0.333 0.667 0.136 Ni
0.667 0.333 0.864 Ni
0.000 0.000 0.000 Ce
0.000 0.000 0.274 Ce
0.000 0.000 0.726 Ce
0.333 0.667 0.388 P
0.667 0.333 0.612 P
0.667 0.333 0.136 P
0.333 0.667 0.864 P
0.667 0.333 0.440 Pd
0.333 0.667 0.560 Pd
```

Summary:
E_form = -1.0678 eV/atom
Space group = P-3m1, No. 164
DOS at the Fermi energy = 13.46 states/eV/cell

***

For the records above, the corresponding density values read 12.52 10.11 2.90 7.28 g cm⁻³.